Below is crystalline Zn2FeP2 at its relaxed geometry, with properties calculated at the PBE level.

a = 3.3129 Å, b = 3.3129 Å, c = 7.9750 Å
α = 78.01°, β = 78.01°, γ = 90.00°
Closest atoms and distances in Å follow each position.
Sites, in units of the cell vectors:
P 0.4282 0.4282 0.1435  1 P 2.19
P 0.5718 0.5718 0.8565  1 P 2.19
Zn 0.7500 0.2500 0.5000  4 Zn 2.34
Zn 0.2500 0.7500 0.5000  4 Zn 2.34
Fe 0.0000 0.0000 0.0000  8 P 2.59

Electronic total energy in eV for the cell shown: -20.0
Symmetry: I4/mmm
ΔE to the lowest computed polymorph in kJ/mol of formula units: 194
Energy of formation in eV per formula unit: 1.79



Below is crystalline Y4InTe2Se at its relaxed geometry, with properties calculated at the PBE level.

a = 4.2424 Å, b = 7.5616 Å, c = 7.4929 Å
α = 71.21°, β = 90.00°, γ = 90.00°
Closest atoms and distances in Å follow each position.
Sites, in units of the cell vectors:
Y 0.0000 0.7278 0.7596  2 Se 2.95, 1 In 2.98, 3 Te 3.14-3.15
Y 0.0000 0.2722 0.2404  2 Se 2.95, 1 In 2.98, 3 Te 3.14-3.15
Y 0.5000 0.7377 0.2512  1 Se 2.99, 2 In 3.01, 3 Te 3.09-3.13
Y 0.5000 0.2623 0.7488  1 Se 2.99, 2 In 3.01, 3 Te 3.09-3.13
In 0.0000 0.5000 0.5000  6 Y 2.98-3.01
Te 0.0000 0.0000 0.0000  6 Y 3.09-3.14
Te 0.5000 0.0000 0.5000  6 Y 3.13-3.15
Se 0.5000 0.5000 0.0000  6 Y 2.95-2.99

Electronic total energy in eV for the cell shown: -48.1
Symmetry: P2/m



Below is crystalline Na2In6IrAu at its relaxed geometry, with properties calculated at the PBE level.

a = 7.4838 Å, b = 7.4838 Å, c = 7.4839 Å
α = 60.00°, β = 60.00°, γ = 90.00°
Closest atoms and distances in Å follow each position.
Sites, in units of the cell vectors:
Na 0.2500 0.7500 0.5000  12 In 3.74
Na 0.7500 0.2500 0.5000  12 In 3.74
In 0.2537 0.7463 0.0000  1 Ir 2.61, 1 Au 2.69
In 0.7463 0.7463 0.0000  1 Ir 2.61, 1 Au 2.69
In 0.2537 0.2537 0.4925  1 Ir 2.61, 1 Au 2.69
In 0.7463 0.2537 0.0000  1 Ir 2.61, 1 Au 2.69
In 0.2537 0.2537 0.0000  1 Ir 2.61, 1 Au 2.69
In 0.7463 0.7463 0.5075  1 Ir 2.61, 1 Au 2.69
Ir 0.5000 0.5000 0.0000  6 In 2.61
Au 0.0000 0.0000 0.0000  6 In 2.69

Electronic total energy in eV for the cell shown: -31.2
Symmetry: Fm-3m
Energy of formation in eV per formula unit: 0.00



Below is crystalline MnCr at its relaxed geometry, with properties calculated at the PBE level.

a = 7.5005 Å, b = 7.5005 Å, c = 7.5005 Å
α = 90.00°, β = 90.00°, γ = 90.00°
Closest atoms and distances in Å follow each position.
Sites, in units of the cell vectors:
Mn 0.3759 0.3759 0.3759  4 Cr 2.42-2.46, 3 Mn 2.63
Mn 0.3759 0.6241 0.6241  4 Cr 2.42-2.46, 3 Mn 2.63
Mn 0.6241 0.3759 0.6241  4 Cr 2.42-2.46, 3 Mn 2.63
Mn 0.6241 0.6241 0.3759  4 Cr 2.42-2.46, 3 Mn 2.63
Mn 0.8759 0.8759 0.8759  4 Cr 2.42-2.46, 3 Mn 2.63
Mn 0.8759 0.1241 0.1241  4 Cr 2.42-2.46, 3 Mn 2.63
Mn 0.1241 0.8759 0.1241  4 Cr 2.42-2.46, 3 Mn 2.63
Mn 0.1241 0.1241 0.8759  4 Cr 2.42-2.46, 3 Mn 2.63
Cr 0.1868 0.1868 0.1868  4 Mn 2.42-2.46
Cr 0.1868 0.8132 0.8132  4 Mn 2.42-2.46
Cr 0.8132 0.1868 0.8132  4 Mn 2.42-2.46
Cr 0.8132 0.8132 0.1868  4 Mn 2.42-2.46
Cr 0.6868 0.6868 0.6868  4 Mn 2.42-2.46
Cr 0.6868 0.3132 0.3132  4 Mn 2.42-2.46
Cr 0.3132 0.6868 0.3132  4 Mn 2.42-2.46
Cr 0.3132 0.3132 0.6868  4 Mn 2.42-2.46

Electronic total energy in eV for the cell shown: -125.2
Symmetry: I-43m
Energy of formation in eV per formula unit: 3.14



Below is crystalline CaHgBiPd at its relaxed geometry, with properties calculated at the PBE level.

a = 4.7204 Å, b = 4.7204 Å, c = 5.5853 Å
α = 90.00°, β = 90.00°, γ = 120.00°
Closest atoms and distances in Å follow each position.
Sites, in units of the cell vectors:
Ca 0.6667 0.3333 0.2025  3 Pd 2.97, 3 Hg 3.17
Hg 0.3333 0.6667 0.9132  2 Pd 2.78-2.80
Bi 0.0000 0.0000 0.5987  3 Pd 2.91, 3 Hg 3.24
Pd 0.3333 0.6667 0.4147  2 Hg 2.78-2.80, 3 Bi 2.91, 3 Ca 2.97

Electronic total energy in eV for the cell shown: -13.3
Symmetry: P3m1
ΔE to the lowest computed polymorph in kJ/mol of formula units: 0
Energy of formation in eV per formula unit: -1.97



Below is crystalline HgS2N2 at its relaxed geometry, with properties calculated at the PBE level.

a = 4.1686 Å, b = 4.1686 Å, c = 4.0930 Å
α = 90.00°, β = 90.00°, γ = 90.00°
Closest atoms and distances in Å follow each position.
Sites, in units of the cell vectors:
S 0.0000 0.5000 0.0000  2 N 2.08
S 0.5000 0.0000 0.0000  2 N 2.08
Hg 0.5000 0.5000 0.5000  8 S 2.92, 4 N 2.95
N 0.0000 0.0000 0.0000  2 N 2.05, 4 S 2.08
N 0.0000 0.0000 0.5000  2 N 2.05

Electronic total energy in eV for the cell shown: -16.1
Symmetry: P4/mmm
ΔE to the lowest computed polymorph in kJ/mol of formula units: 210



Below is crystalline Pm5SmTm2Th at its relaxed geometry, with properties calculated at the PBE level.

a = 5.6674 Å, b = 10.5775 Å, c = 10.5488 Å
α = 90.00°, β = 90.00°, γ = 105.54°
Closest atoms and distances in Å follow each position.
Sites, in units of the cell vectors:
Pm 0.3880 0.7759 0.0271  6 Pm 3.52-3.91, 4 Tm 3.59-3.60, 1 Th 3.86
Pm 0.7230 0.4460 0.8136  1 Sm 3.06, 1 Tm 3.29, 2 Pm 3.38
Pm 0.4778 0.9557 0.7419  2 Sm 3.17-3.39, 2 Tm 3.51, 2 Pm 3.52-3.55
Pm 0.2937 0.5873 0.7044  3 Pm 3.38-3.77, 2 Th 3.48, 1 Sm 3.58, 3 Tm 3.58-3.71
Pm 0.9848 0.9695 0.5212  2 Sm 3.31, 3 Tm 3.43-3.60, 2 Pm 3.67
Pm 0.6120 0.2241 0.5271  6 Pm 3.52-3.91, 4 Tm 3.59-3.60, 1 Th 3.86
Pm 0.2770 0.5540 0.3136  1 Sm 3.06, 1 Tm 3.29, 2 Pm 3.38
Pm 0.5222 0.0443 0.2419  2 Sm 3.17-3.39, 2 Tm 3.51, 2 Pm 3.52-3.55
Pm 0.7063 0.4127 0.2044  3 Pm 3.38-3.77, 2 Th 3.48, 1 Sm 3.58, 3 Tm 3.58-3.71
Pm 0.0152 0.0305 0.0212  2 Sm 3.31, 3 Tm 3.43-3.60, 2 Pm 3.67
Sm 0.5906 0.1812 0.9495  5 Pm 3.06-3.39
Sm 0.4094 0.8188 0.4495  5 Pm 3.06-3.39
Tm 0.8842 0.7684 0.8168  8 Pm 3.29-3.60, 1 Th 3.62
Tm 0.1125 0.2251 0.7365  1 Th 3.40, 7 Pm 3.46-3.71, 2 Sm 3.64
Tm 0.1158 0.2316 0.3168  8 Pm 3.29-3.60, 1 Th 3.62
Tm 0.8875 0.7749 0.2365  1 Th 3.40, 7 Pm 3.46-3.71, 2 Sm 3.64
Th 0.8013 0.6026 0.5131  2 Tm 3.40-3.62, 7 Pm 3.48-3.79, 2 Sm 3.65
Th 0.1987 0.3974 0.0131  2 Tm 3.40-3.62, 7 Pm 3.48-3.79, 2 Sm 3.65

Electronic total energy in eV for the cell shown: -86.8
Symmetry: Cmc2_1
Energy of formation in eV per formula unit: 1.45



Below is crystalline Na2LiReCl at its relaxed geometry, with properties calculated at the PBE level.

a = 5.7784 Å, b = 4.0899 Å, c = 5.7784 Å
α = 90.00°, β = 90.00°, γ = 90.00°
Closest atoms and distances in Å follow each position.
Sites, in units of the cell vectors:
Re 0.5000 0.5000 0.5000  8 Na 3.54
Li 0.0000 0.0000 0.0000  2 Cl 2.04
Na 0.0000 0.0000 0.5000  2 Li 2.89
Na 0.5000 0.0000 0.0000  2 Li 2.89
Cl 0.0000 0.5000 0.0000  2 Li 2.04

Electronic total energy in eV for the cell shown: -15.0
Symmetry: P4/mmm



Below is crystalline Sc2ReRhW at its relaxed geometry, with properties calculated at the PBE level.

a = 4.9250 Å, b = 4.6019 Å, c = 4.9250 Å
α = 90.00°, β = 90.00°, γ = 90.00°
Closest atoms and distances in Å follow each position.
Sites, in units of the cell vectors:
Sc 0.0000 0.0000 0.5000  2 W 2.46
Sc 0.5000 0.0000 0.0000  2 W 2.46
Re 0.5000 0.5000 0.5000  8 Sc 3.37, 4 Rh 3.48
Rh 0.0000 0.5000 0.0000  2 W 2.30
W 0.0000 0.0000 0.0000  2 Rh 2.30, 4 Sc 2.46

Electronic total energy in eV for the cell shown: -38.2
Symmetry: P4/mmm
Energy of formation in eV per formula unit: 7.23



Below is crystalline LiMg2Ru at its relaxed geometry, with properties calculated at the PBE level.

a = 2.8441 Å, b = 5.3224 Å, c = 5.4660 Å
α = 54.06°, β = 90.00°, γ = 90.00°
Closest atoms and distances in Å follow each position.
Sites, in units of the cell vectors:
Li 0.0000 0.0000 0.5000  6 Mg 2.73-2.83, 2 Li 2.84, 4 Ru 3.02
Mg 0.0000 0.0000 0.0000  2 Li 2.73, 4 Ru 2.83, 6 Mg 2.84-3.02
Mg 0.5000 0.5000 0.0000  2 Ru 2.73, 4 Li 2.83, 6 Mg 2.84-3.02
Ru 0.5000 0.5000 0.5000  6 Mg 2.73-2.83, 2 Ru 2.84, 4 Li 3.02

Electronic total energy in eV for the cell shown: -13.8
Symmetry: P2/m
Energy of formation in eV per formula unit: 0.54



Below is crystalline GdDyBiTe at its relaxed geometry, with properties calculated at the PBE level.

a = 5.4471 Å, b = 5.4471 Å, c = 5.4471 Å
α = 60.00°, β = 60.00°, γ = 60.00°
Closest atoms and distances in Å follow each position.
Sites, in units of the cell vectors:
Gd 0.2500 0.2500 0.2500  4 Bi 3.34, 4 Te 3.34
Te 0.0000 0.0000 0.0000  4 Gd 3.34, 4 Dy 3.34
Bi 0.5000 0.5000 0.5000  4 Dy 3.34, 4 Gd 3.34
Dy 0.7500 0.7500 0.7500  4 Te 3.34, 4 Bi 3.34

Electronic total energy in eV for the cell shown: -29.4
Symmetry: F-43m



Below is crystalline HgSbIN2 at its relaxed geometry, with properties calculated at the PBE level.

a = 4.4004 Å, b = 4.4004 Å, c = 7.0949 Å
α = 90.00°, β = 90.00°, γ = 90.00°
Closest atoms and distances in Å follow each position.
Sites, in units of the cell vectors:
I 0.0000 0.0000 0.5000  4 Sb 3.11
Sb 0.5000 0.5000 0.5000  4 I 3.11
Hg 0.0000 0.0000 0.0000  4 N 2.20
N 0.0000 0.5000 0.0000  2 Hg 2.20
N 0.5000 0.0000 0.0000  2 Hg 2.20

Electronic total energy in eV for the cell shown: -13.2
Symmetry: P4/mmm
ΔE to the lowest computed polymorph in kJ/mol of formula units: 342